1 | # IrOsRh2

A relaxed structure of IrOsRh2 (PBEsol, the Alexandria database).

Output
Volume   13.71 A^3/atom

a b c (Å): 4.661 4.661 4.653
angles (deg): 99.41 99.41 33.41
Atoms (fractional coordinates):
1 Ir 0.000 0.000 0.000
2 Os 0.747 0.747 0.241
3 Rh 0.249 0.249 0.743
4 Rh 0.496 0.496 0.493

---

2 | # IrOsRh2

A relaxed structure of IrOsRh2 (PBEsol, the Alexandria database).

Output
Volume   14.13 A^3/atom

a b c (Å): 2.654 2.654 9.268
angles (deg): 90.00 90.00 119.98
Atoms (fractional coordinates):
1 Ir 0.000 0.000 0.000
2 Os 0.000 0.000 0.500
3 Rh 0.500 0.500 0.251
4 Rh 0.500 0.500 0.749

---

3 | # IrOsRh2

A relaxed structure of IrOsRh2 (PBEsol, the Alexandria database).

Output
Volume   13.71 A^3/atom

a b c (Å): 2.677 3.822 5.361
angles (deg): 90.00 90.00 90.00
Atoms (fractional coordinates):
1 Ir 0.000 0.000 0.000
2 Os 0.000 0.000 0.500
3 Rh 0.500 0.500 0.253
4 Rh 0.500 0.500 0.747

---

4 | # IrOsRh2

A relaxed structure of IrOsRh2 (PBEsol, the Alexandria database).

Output
Volume   13.70 A^3/atom

a b c (Å): 3.790 3.790 3.815
angles (deg): 90.00 90.00 90.00
Atoms (fractional coordinates):
1 Ir 0.000 0.000 0.000
2 Os 0.500 0.500 0.000
3 Rh 0.000 0.500 0.500
4 Rh 0.500 0.000 0.500

---

What is the stability order? It is 1, 3, 4, 2, from most stable to least stable.

---

1 | # IrOsRh2

A relaxed structure of IrOsRh2 (PBEsol, the Alexandria database).

Output
Volume   13.75 A^3/atom

a b c (Å): 8.919 8.919 8.919
angles (deg): 17.34 17.34 17.34
Atoms (fractional coordinates):
1 Ir 0.000 0.000 0.000
2 Os 0.251 0.251 0.251
3 Rh 0.502 0.502 0.502
4 Rh 0.751 0.751 0.751

---

2 | # IrOsRh2

A relaxed structure of IrOsRh2 (PBEsol, the Alexandria database).

Output
Volume   13.69 A^3/atom

a b c (Å): 4.654 4.654 4.654
angles (deg): 131.88 131.88 70.42
Atoms (fractional coordinates):
1 Ir 0.000 0.000 0.000
2 Os 0.250 0.750 0.500
3 Rh 0.500 0.500 0.000
4 Rh 0.750 0.250 0.500

---

What is the stability order? It is 1, 2, from most stable to least stable.

---

1 | # IrOsRh2

A relaxed structure of IrOsRh2 (PBEsol, the Alexandria database).

Output
Volume   13.71 A^3/atom

a b c (Å): 4.669 4.669 2.676
angles (deg): 90.00 90.00 109.91
Atoms (fractional coordinates):
1 Ir 0.000 0.000 0.000
2 Os 0.500 0.500 0.000
3 Rh 0.000 0.500 0.500
4 Rh 0.500 0.000 0.500

---

2 | # IrOsRh2

A relaxed structure of IrOsRh2 (PBEsol, the Alexandria database).

Output
Volume   13.71 A^3/atom

a b c (Å): 4.665 4.665 4.651
angles (deg): 99.46 99.46 33.38
Atoms (fractional coordinates):
1 Ir 0.000 0.000 0.000
2 Os 0.500 0.500 0.500
3 Rh 0.249 0.249 0.747
4 Rh 0.751 0.751 0.253

---

What is the stability order? It is 2, 1, from most stable to least stable.

---

1 | # IrOs2Rh

A relaxed structure of IrOs2Rh (PBEsol, the Alexandria database).

Output
Volume   13.84 A^3/atom

a b c (Å): 2.693 3.809 5.398
angles (deg): 90.00 90.00 90.00
Atoms (fractional coordinates):
1 Ir 0.000 0.000 0.000
2 Os 0.000 0.000 0.497
3 Os 0.500 0.500 0.252
4 Rh 0.500 0.500 0.747

---

2 | # IrOs2Rh

A relaxed structure of IrOs2Rh (PBEsol, the Alexandria database).

Output
Volume   13.83 A^3/atom

a b c (Å): 4.691 4.691 4.691
angles (deg): 132.36 132.36 69.67
Atoms (fractional coordinates):
1 Ir 0.000 0.000 0.000
2 Os 0.250 0.750 0.500
3 Os 0.750 0.250 0.500
4 Rh 0.500 0.500 0.000

---

What is the stability order? It is 1, 2, from most stable to least stable.

---

1 | # IrOs2Rh

A relaxed structure of IrOs2Rh (PBEsol, the Alexandria database).

Output
Volume   13.86 A^3/atom

a b c (Å): 2.694 2.694 7.638
angles (deg): 90.00 90.00 90.00
Atoms (fractional coordinates):
1 Ir 0.000 0.000 0.000
2 Os 0.000 0.000 0.496
3 Os 0.500 0.500 0.248
4 Rh 0.500 0.500 0.744

---

2 | # IrOs2Rh

A relaxed structure of IrOs2Rh (PBEsol, the Alexandria database).

Output
Volume   13.83 A^3/atom

a b c (Å): 4.690 4.690 2.682
angles (deg): 90.00 90.00 110.30
Atoms (fractional coordinates):
1 Ir 0.000 0.000 0.000
2 Os 0.000 0.500 0.500
3 Os 0.500 0.000 0.500
4 Rh 0.500 0.500 0.000

---

3 | # IrOs2Rh

A relaxed structure of IrOs2Rh (PBEsol, the Alexandria database).

Output
Volume   13.84 A^3/atom

a b c (Å): 4.681 4.681 4.657
angles (deg): 99.53 99.53 33.42
Atoms (fractional coordinates):
1 Ir 0.000 0.000 0.000
2 Os 0.251 0.251 0.751
3 Os 0.749 0.749 0.249
4 Rh 0.500 0.500 0.500

---

What is the stability order? It is 1, 3, 2, from most stable to least stable.

---

1 | # Ir2OsRh

A relaxed structure of Ir2OsRh (PBEsol, the Alexandria database).

Output
Volume   13.86 A^3/atom

a b c (Å): 3.817 3.817 3.804
angles (deg): 90.00 90.00 90.00
Atoms (fractional coordinates):
1 Ir 0.000 0.500 0.000
2 Ir 0.500 0.000 0.000
3 Os 0.000 0.000 0.500
4 Rh 0.500 0.500 0.500

---

2 | # Ir2OsRh

A relaxed structure of Ir2OsRh (PBEsol, the Alexandria database).

Output
Volume   13.91 A^3/atom

a b c (Å): 2.694 2.694 7.665
angles (deg): 90.00 90.00 90.00
Atoms (fractional coordinates):
1 Ir 0.000 0.000 0.000
2 Ir 0.500 0.500 0.253
3 Os 0.000 0.000 0.500
4 Rh 0.500 0.500 0.747

---

What is the stability order? It is 2, 1, from most stable to least stable.

---

1 | # IrOs2Ru

A relaxed structure of IrOs2Ru (PBEsol, the Alexandria database).

Output
Volume   13.82 A^3/atom

a b c (Å): 4.655 4.655 4.655
angles (deg): 131.58 131.58 70.90
Atoms (fractional coordinates):
1 Ir 0.000 0.000 0.000
2 Os 0.500 0.500 0.000
3 Os 0.750 0.250 0.500
4 Ru 0.250 0.750 0.500

---

2 | # IrOs2Ru

A relaxed structure of IrOs2Ru (PBEsol, the Alexandria database).

Output
Volume   13.81 A^3/atom

a b c (Å): 2.685 2.685 7.663
angles (deg): 90.00 90.00 90.00
Atoms (fractional coordinates):
1 Ir 0.000 0.000 0.000
2 Os 0.500 0.500 0.253
3 Os 0.500 0.500 0.747
4 Ru 0.000 0.000 0.500

---

What is the stability order? It is 1, 2, from most stable to least stable.

---

1 | # IrOs2Ru

A relaxed structure of IrOs2Ru (PBEsol, the Alexandria database).

Output
Volume   13.82 A^3/atom

a b c (Å): 4.664 4.664 4.671
angles (deg): 99.52 99.52 33.52
Atoms (fractional coordinates):
1 Ir 0.000 0.000 0.000
2 Os 0.499 0.499 0.501
3 Os 0.750 0.750 0.253
4 Ru 0.247 0.247 0.746

---

2 | # IrOs2Ru

A relaxed structure of IrOs2Ru (PBEsol, the Alexandria database).

Output
Volume   13.84 A^3/atom

a b c (Å): 8.933 8.933 8.933
angles (deg): 17.35 17.35 17.35
Atoms (fractional coordinates):
1 Ir 0.000 0.000 0.000
2 Os 0.501 0.501 0.501
3 Os 0.751 0.751 0.751
4 Ru 0.250 0.250 0.250

---

What is the stability order? It is 1, 2, from most stable to least stable.